A plane-wave DFT calculation with GGA-PBE was carried out for Rb2ScWBr6 after structural relaxation.

a b c (Å): 7.5471 7.5471 7.5471
angles (deg): 60.00 60.00 60.00
Fractional coordinates of all 10 atoms:
1 Rb 0.2500 0.2500 0.2500
2 Rb 0.7500 0.7500 0.7500
3 Sc 0.0000 0.0000 0.0000
4 W 0.5000 0.5000 0.5000
5 Br 0.2547 0.2547 0.7453
6 Br 0.2547 0.7453 0.2547
7 Br 0.2547 0.7453 0.7453
8 Br 0.7453 0.2547 0.2547
9 Br 0.7453 0.2547 0.7453
10 Br 0.7453 0.7453 0.2547

* formation energy without anion corrections: -9.38 eV/f.u.
* DFT total energy: -4.063 eV/atom
* V: 304.0 Å³/cell
* space group: Fm-3m (225)

---

A plane-wave DFT calculation with GGA-PBE was carried out for Li3Mg2Ga5 after structural relaxation.

a b c (Å): 8.8989 8.8989 8.8989
angles (deg): 106.46 84.21 144.83
Fractional coordinates of all 20 atoms:
1 Li 0.1507 0.6279 0.7787
2 Li 0.2500 0.2500 0.0000
3 Li 0.3493 0.1279 0.4772
4 Li 0.6507 0.8721 0.5228
5 Li 0.7500 0.7500 0.0000
6 Li 0.8493 0.3721 0.2213
7 Mg 0.2143 0.8927 0.1070
8 Mg 0.2857 0.3927 0.6784
9 Mg 0.7143 0.6073 0.3216
10 Mg 0.7857 0.1073 0.8930
11 Ga 0.1543 0.1581 0.3124
12 Ga 0.2500 0.0006 0.7506
13 Ga 0.2500 0.4994 0.2494
14 Ga 0.2500 0.7500 0.5000
15 Ga 0.3457 0.6581 0.0038
16 Ga 0.6543 0.3419 0.9962
17 Ga 0.7500 0.2500 0.5000
18 Ga 0.7500 0.5006 0.7506
19 Ga 0.7500 0.9994 0.2494
20 Ga 0.8457 0.8419 0.6876

* DFT total energy: -2.527 eV/atom
* V: 378.2 Å³/cell
* space group: Ibam (72)

---

A plane-wave DFT calculation with GGA-PBE was carried out for Tc2C after structural relaxation.

a b c (Å): 5.2526 5.2526 5.2526
angles (deg): 90.00 90.00 90.00
Fractional coordinates of all 12 atoms:
1 Tc 0.2500 0.2500 0.2500
2 Tc 0.2500 0.2500 0.7500
3 Tc 0.2500 0.7500 0.2500
4 Tc 0.2500 0.7500 0.7500
5 Tc 0.7500 0.2500 0.2500
6 Tc 0.7500 0.2500 0.7500
7 Tc 0.7500 0.7500 0.2500
8 Tc 0.7500 0.7500 0.7500
9 C 0.0000 0.0000 0.0000
10 C 0.0000 0.5000 0.5000
11 C 0.5000 0.0000 0.5000
12 C 0.5000 0.5000 0.0000

* DFT total energy: -9.263 eV/atom
* V: 144.9 Å³/cell
* space group: Fm-3m (225)

---

Number 1: M_tot 0.100 μB per atom. Number 2: M_tot 0.000 μB per atom. Number 3: M_tot 0.000 μB per atom.